1.
NiSe2Br | PBE-GGA | relaxed

Computed properties:
Energy relative to the lowest polymorph listed for this composition in meV/atom: 182
Space group: No. 8
Formation energy from raw total energies in eV/atom: -0.06

Lattice parameters (Å, degrees): 4.685 4.685 7.499 105.69 105.69 42.06
Fractional positions:
Ni 0.000 0.000 0.000
Se 0.352 0.352 0.823
Se 0.494 0.494 0.603
Br 0.649 0.649 0.196



2.
LiMn2W | PBE-GGA | relaxed

Computed properties:
Space group: No. 119
Calculated formation energy in eV per atom: 0.3860

Lattice parameters (Å, degrees): 4.869 4.869 4.869 137.66 137.66 61.42
Fractional positions:
Li 0.000 0.000 0.000
Mn 0.250 0.750 0.500
Mn 0.500 0.500 0.000
W 0.750 0.250 0.500



3.
LiCaTbCl6 | PBE-GGA | relaxed

Computed properties:
Space group: No. 163
Formation energy from raw total energies in eV/atom: -2.19

Lattice parameters (Å, degrees): 6.864 6.864 11.865 90.00 90.00 120.00
Fractional positions:
Li 0.000 0.000 0.000
Li 0.000 0.000 0.500
Ca 0.333 0.667 0.250
Ca 0.667 0.333 0.750
Tb 0.333 0.667 0.750
Tb 0.667 0.333 0.250
Cl 0.010 0.342 0.626
Cl 0.010 0.668 0.874
Cl 0.332 0.342 0.874
Cl 0.332 0.990 0.626
Cl 0.342 0.010 0.126
Cl 0.342 0.332 0.374
Cl 0.658 0.668 0.626
Cl 0.658 0.990 0.874
Cl 0.668 0.010 0.374
Cl 0.668 0.658 0.126
Cl 0.990 0.332 0.126
Cl 0.990 0.658 0.374



4.
TcSb | PBE-GGA | relaxed

Computed properties:
Energy relative to the lowest polymorph listed for this composition in meV/atom: 91
Space group: No. 12
Formation energy from raw total energies in eV/atom: 0.15

Lattice parameters (Å, degrees): 5.032 5.032 4.795 105.76 105.76 37.99
Fractional positions:
Tc 0.125 0.125 0.301
Tc 0.875 0.875 0.699
Sb 0.385 0.385 0.188
Sb 0.615 0.615 0.812



5.
Pr2TmCd2In2 | PBE-GGA | relaxed

Computed properties:
Space group: No. 166
Calculated formation energy in eV per atom: -0.2632

Lattice parameters (Å, degrees): 9.666 9.666 9.666 29.73 29.73 29.73
Fractional positions:
Pr 0.127 0.127 0.127
Pr 0.873 0.873 0.873
Tm 0.000 0.000 0.000
Cd 0.390 0.390 0.390
Cd 0.610 0.610 0.610
In 0.265 0.265 0.265
In 0.735 0.735 0.735



6.
HfGeTe2I | PBE-GGA | relaxed

Computed properties:
Energy relative to the lowest polymorph listed for this composition in meV/atom: 536
Space group: No. 123
Formation energy from raw total energies in eV/atom: 0.66

Lattice parameters (Å, degrees): 5.405 5.405 5.340 90.00 90.00 90.00
Fractional positions:
Hf 0.000 0.000 0.000
Ge 0.500 0.500 0.500
Te 0.000 0.500 0.500
Te 0.500 0.000 0.500
I 0.500 0.500 0.000



7.
Zr2HgCl | PBE-GGA | relaxed

Computed properties:
Energy relative to the lowest polymorph listed for this composition in meV/atom: 932
Space group: No. 216
Formation energy from raw total energies in eV/atom: 0.39

Lattice parameters (Å, degrees): 5.087 5.087 5.087 60.00 60.00 60.00
Fractional positions:
Zr 0.000 0.000 0.000
Zr 0.250 0.250 0.250
Hg 0.500 0.500 0.500
Cl 0.750 0.750 0.750



8.
Fe5Ir2Rh4 | PBE-GGA | relaxed

Computed properties:
Space group: No. 10
Calculated formation energy in eV per atom: 0.0900

Lattice parameters (Å, degrees): 6.524 2.660 8.725 90.00 94.06 90.00
Fractional positions:
Fe 0.000 0.000 0.000
Fe 0.067 0.000 0.286
Fe 0.299 0.000 0.837
Fe 0.701 0.000 0.163
Fe 0.933 0.000 0.714
Ir 0.443 0.000 0.358
Ir 0.557 0.000 0.642
Rh 0.202 0.500 0.560
Rh 0.334 0.500 0.099
Rh 0.666 0.500 0.901
Rh 0.798 0.500 0.440



9.
AcCoI | PBE-GGA | relaxed

Computed properties:
Space group: No. 8
Formation energy from raw total energies in eV/atom: -0.71

Lattice parameters (Å, degrees): 4.227 4.227 13.129 99.85 99.85 60.02
Fractional positions:
Ac 0.000 0.000 0.000
Ac 0.110 0.110 0.311
Co 0.389 0.389 0.155
Co 0.722 0.722 0.155
I 0.268 0.268 0.815
I 0.509 0.509 0.496



10.
EuThTl2 | PBE-GGA | relaxed

Computed properties:
Energy relative to the lowest polymorph listed for this composition in meV/atom: 57
Space group: No. 123
Calculated formation energy in eV per atom: -0.2111

Lattice parameters (Å, degrees): 5.192 5.192 4.454 90.00 90.00 90.00
Fractional positions:
Eu 0.000 0.000 0.000
Th 0.500 0.500 0.000
Tl 0.000 0.500 0.500
Tl 0.500 0.000 0.500



11.
Na2InFe | PBE-GGA | relaxed

Computed properties:
Space group: No. 122
Calculated formation energy in eV per atom: 0.6029

Lattice parameters (Å, degrees): 6.577 6.577 6.577 100.03 100.03 130.67
Fractional positions:
Na 0.101 0.625 0.976
Na 0.375 0.351 0.476
Na 0.649 0.125 0.024
Na 0.875 0.899 0.524
In 0.250 0.750 0.500
In 0.500 0.500 0.000
Fe 0.000 0.000 0.000
Fe 0.750 0.250 0.500



12.
KY4Ag | PBE-GGA | relaxed

Computed properties:
Space group: No. 216
Calculated formation energy in eV per atom: 0.5779

Lattice parameters (Å, degrees): 6.674 6.674 6.674 60.00 60.00 60.00
Fractional positions:
K 0.000 0.000 0.000
Y 0.129 0.624 0.624
Y 0.624 0.129 0.624
Y 0.624 0.624 0.129
Y 0.624 0.624 0.624
Ag 0.250 0.250 0.250



| no. | size of the total moment (μB per formula unit) |
| --- | --- |
| 1 | 0.0 |
| 2 | 3.5 |
| 3 | 0.0 |
| 4 | 0.0 |
| 5 | 0.0 |
| 6 | 1.1 |
| 7 | 3.5 |
| 8 | 15.3 |
| 9 | 0.2 |
| 10 | 7.5 |
| 11 | 2.8 |
| 12 | 0.0 |